Record 1
Computed, not measured: a geometry-optimized Li4Cd2GaHg structure at the GGA-PBE level of DFT.

Values from the calculation:
Uncorrected energy = -1.89 eV per atom
Calculated density = 6.2 g cm⁻³
Calculated volume = 17.59 Å³/atom

Lattice parameters (Å, degrees): 4.630 4.630 6.564 90.00 90.00 90.00
Fractional positions:
Li1 0.000 0.000 0.000
Li2 0.000 0.500 0.245
Li3 0.500 0.000 0.755
Li4 0.500 0.500 0.500
Cd1 0.000 0.500 0.766
Cd2 0.500 0.000 0.234
Ga1 0.500 0.500 0.000
Hg1 0.000 0.000 0.500

=====

Record 2
Computed, not measured: a geometry-optimized CdGaNiHg structure at the GGA-PBE level of DFT.

Values from the calculation:
Uncorrected energy = -2.26 eV per atom
Calculated density = 10.2 g cm⁻³
Calculated volume = 18.04 Å³/atom

Lattice parameters (Å, degrees): 4.673 4.673 4.673 60.00 60.00 60.00
Fractional positions:
Cd1 0.000 0.000 0.000
Ga1 0.500 0.500 0.500
Ni1 0.750 0.750 0.750
Hg1 0.250 0.250 0.250

=====

Record 3
Computed, not measured: a geometry-optimized HoCdGa structure at the GGA-PBE level of DFT.

Values from the calculation:
Uncorrected energy = -3.23 eV per atom
Calculated density = 7.9 g cm⁻³
Calculated volume = 24.31 Å³/atom

Lattice parameters (Å, degrees): 4.690 4.690 4.690 60.00 60.00 60.00
Fractional positions:
Ho1 0.000 0.000 0.000
Cd1 0.500 0.500 0.500
Ga1 0.750 0.750 0.750

=====

Record 4
Computed, not measured: a geometry-optimized HoCdGa structure at the GGA-PBE level of DFT.

Values from the calculation:
Uncorrected energy = -2.78 eV per atom
Calculated density = 7.0 g cm⁻³
Calculated volume = 27.43 Å³/atom

Lattice parameters (Å, degrees): 4.882 4.882 4.882 60.00 60.00 60.00
Fractional positions:
Ho1 0.000 0.000 0.000
Cd1 0.750 0.750 0.750
Ga1 0.250 0.250 0.250

=====

Record 5
Computed, not measured: a geometry-optimized Nd2HoCd3InGa2 structure at the GGA-PBE level of DFT.

Values from the calculation:
Uncorrected energy = -3.34 eV per atom
Calculated density = 7.9 g cm⁻³
Calculated volume = 24.31 Å³/atom

Lattice parameters (Å, degrees): 4.573 7.419 7.419 119.60 90.00 90.00
Fractional positions:
Nd1 0.000 0.218 0.782
Nd2 0.000 0.782 0.218
Ho1 0.000 0.655 0.655
Cd1 0.500 0.219 0.473
Cd2 0.500 0.473 0.219
Cd3 0.500 0.965 0.965
In1 0.000 0.225 0.225
Ga1 0.500 0.555 0.882
Ga2 0.500 0.882 0.555

=====

Record 6
Computed, not measured: a geometry-optimized TbHo2Cd3InGa2 structure at the GGA-PBE level of DFT.

Values from the calculation:
Uncorrected energy = -3.29 eV per atom
Calculated density = 8.6 g cm⁻³
Calculated volume = 23.12 Å³/atom

Lattice parameters (Å, degrees): 4.506 7.304 7.304 120.04 90.00 90.00
Fractional positions:
Tb1 0.000 0.000 0.000
Ho1 0.000 0.125 0.563
Ho2 0.000 0.563 0.125
Cd1 0.500 0.307 0.307
Cd2 0.500 0.563 0.818
Cd3 0.500 0.818 0.563
In1 0.000 0.562 0.562
Ga1 0.500 0.229 0.896
Ga2 0.500 0.896 0.229

=====

Record 7
Computed, not measured: a geometry-optimized HoTm2Cd3InGa2 structure at the GGA-PBE level of DFT.

Values from the calculation:
Uncorrected energy = -3.24 eV per atom
Calculated density = 8.9 g cm⁻³
Calculated volume = 22.79 Å³/atom

Lattice parameters (Å, degrees): 4.485 7.268 7.268 120.04 90.00 90.00
Fractional positions:
Ho1 0.000 0.000 0.000
Tm1 0.000 0.438 0.875
Tm2 0.000 0.875 0.438
Cd1 0.500 0.182 0.438
Cd2 0.500 0.438 0.182
Cd3 0.500 0.693 0.693
In1 0.000 0.438 0.438
Ga1 0.500 0.104 0.771
Ga2 0.500 0.771 0.104

=====

Record 8
Computed, not measured: a geometry-optimized Ho2TmCd3InGa2 structure at the GGA-PBE level of DFT.

Values from the calculation:
Uncorrected energy = -3.26 eV per atom
Calculated density = 8.8 g cm⁻³
Calculated volume = 22.90 Å³/atom

Lattice parameters (Å, degrees): 4.492 7.278 7.278 119.96 90.00 90.00
Fractional positions:
Ho1 0.000 0.219 0.781
Ho2 0.000 0.781 0.219
Tm1 0.000 0.656 0.656
Cd1 0.500 0.219 0.474
Cd2 0.500 0.474 0.219
Cd3 0.500 0.963 0.963
In1 0.000 0.219 0.219
Ga1 0.500 0.552 0.885
Ga2 0.500 0.885 0.552